1.
Compound: PmGe2Pd
Source: Alexandria
Functional: GGA-PBE
Structure: optimized geometry

Values from the calculation:
**V**: 22.88 Å³/atom
**Formation energy**: -0.50 eV/atom
**Magnetic moment**: 0.0 μB/cell

Cell: 4.024 6.324 7.193 Å, 90.00 90.00 90.00°
Space group Amm2 (No. 38)
Inequivalent atoms, fractional coordinates:
Pm (0.000, 0.000, 0.000) (multiplicity 2)
Ge (0.500, 0.189, 0.697) (multiplicity 4)
Pd (0.500, 0.000, 0.390) (multiplicity 2)

=====

2.
Compound: PmGePd3
Source: Alexandria
Functional: GGA-PBE
Structure: optimized geometry

Values from the calculation:
**V**: 19.04 Å³/atom
**Formation energy**: -0.75 eV/atom
**Magnetic moment**: 0.0 μB/cell

Cell: 5.756 11.252 5.879 Å, 90.00 90.00 90.00°
Space group Cmcm (No. 63)
Inequivalent atoms, fractional coordinates:
Pm (0.000, 0.242, 0.250) (multiplicity 4)
Ge (0.000, 0.117, 0.750) (multiplicity 4)
Pd (0.000, 0.331, 0.750) (multiplicity 4)
Pd (0.239, 0.500, 0.000) (multiplicity 8)

=====

3.
Compound: Pm3GePd4
Source: Alexandria
Functional: GGA-PBE
Structure: optimized geometry

Values from the calculation:
**V**: 23.75 Å³/atom
**Formation energy**: -0.67 eV/atom
**Magnetic moment**: 0.0 μB/cell

Cell: 4.142 6.708 13.677 Å, 90.00 90.00 90.00°
Space group Immm (No. 71)
Inequivalent atoms, fractional coordinates:
Pm (0.000, 0.000, 0.000) (multiplicity 2)
Pm (0.000, 0.500, 0.184) (multiplicity 4)
Ge (0.000, 0.000, 0.500) (multiplicity 2)
Pd (0.000, 0.294, 0.382) (multiplicity 8)

=====

4.
Compound: Pm6Ge3Pd
Source: Alexandria
Functional: GGA-PBE
Structure: optimized geometry

Values from the calculation:
**V**: 28.95 Å³/atom
**Formation energy**: -0.59 eV/atom
**Magnetic moment**: 0.0 μB/cell

Cell: 6.606 8.203 12.473 Å, 90.00 121.05 90.00°
Space group P2_1/c (No. 14)
Inequivalent atoms, fractional coordinates:
Pm (0.074, 0.180, 0.428) (multiplicity 4)
Pm (0.281, 0.677, 0.424) (multiplicity 4)
Pm (0.403, 0.049, 0.248) (multiplicity 4)
Ge (0.173, 0.118, 0.744) (multiplicity 4)
Ge (0.500, 0.000, 0.500) (multiplicity 2)
Pd (0.000, 0.000, 0.000) (multiplicity 2)

=====

5.
Compound: PmGe2Pd4
Source: Alexandria
Functional: GGA-PBE
Structure: optimized geometry

Values from the calculation:
**V**: 17.68 Å³/atom
**Formation energy**: -0.73 eV/atom
**Magnetic moment**: 0.0 μB/cell

Cell: 7.927 7.927 3.939 Å, 90.00 90.00 90.00°
Space group P4_2/mnm (No. 136)
Inequivalent atoms, fractional coordinates:
Pm (0.000, 0.000, 0.000) (multiplicity 2)
Ge (0.221, 0.221, 0.500) (multiplicity 4)
Pd (0.082, 0.668, 0.500) (multiplicity 8)

=====

6.
Compound: PmGe3Pd3
Source: Alexandria
Functional: GGA-PBE
Structure: optimized geometry

Values from the calculation:
**V**: 22.38 Å³/atom
**Formation energy**: -0.29 eV/atom
**Magnetic moment**: 0.0 μB/cell

Cell: 6.792 6.792 6.792 Å, 90.00 90.00 90.00°
Space group Pm-3n (No. 223)
Inequivalent atoms, fractional coordinates:
Pm (0.000, 0.000, 0.000) (multiplicity 2)
Ge (0.000, 0.250, 0.500) (multiplicity 6)
Pd (0.000, 0.500, 0.250) (multiplicity 6)

=====

7.
Compound: PmGe2Pd8
Source: Alexandria
Functional: GGA-PBE
Structure: optimized geometry

Values from the calculation:
**V**: 17.21 Å³/atom
**Formation energy**: -0.51 eV/atom
**Magnetic moment**: 0.0 μB/cell

Cell: 7.611 11.261 4.611 Å, 90.00 106.70 90.00°
Space group C2/m (No. 12)
Inequivalent atoms, fractional coordinates:
Pm (0.000, 0.000, 0.000) (multiplicity 2)
Ge (0.000, 0.319, 0.500) (multiplicity 4)
Pd (0.000, 0.250, 0.000) (multiplicity 4)
Pd (0.105, 0.500, 0.813) (multiplicity 4)
Pd (0.196, 0.128, 0.594) (multiplicity 8)

=====

8.
Compound: PmGe2Pd4
Source: Alexandria
Functional: GGA-PBE
Structure: optimized geometry

Values from the calculation:
**V**: 17.84 Å³/atom
**Formation energy**: -0.68 eV/atom
**Magnetic moment**: 0.0 μB/cell

Cell: 17.340 4.270 6.746 Å, 90.00 90.00 90.00°
Space group Pnma (No. 62)
Inequivalent atoms, fractional coordinates:
Pm (0.140, 0.250, 0.023) (multiplicity 4)
Ge (0.042, 0.750, 0.264) (multiplicity 4)
Ge (0.217, 0.250, 0.547) (multiplicity 4)
Pd (0.027, 0.750, 0.857) (multiplicity 4)
Pd (0.071, 0.250, 0.503) (multiplicity 4)
Pd (0.187, 0.750, 0.334) (multiplicity 4)
Pd (0.199, 0.750, 0.747) (multiplicity 4)